(1)
A plane-wave DFT calculation with GGA-PBE was carried out for crystalline CaAc2As4Pt3 at its relaxed geometry.

Values from the calculation:
Total energy, eV per atom: -5.678
Total magnetic moment, Bohr magnetons per cell: 0.0
Crystal system: tetragonal
Theoretical density, g cm⁻³: 10.21

```
CaAc2As4Pt3
1.0
-2.873 -2.458 -2.543
0.840 -3.657 2.585
-8.147 2.753 6.543
As Pt Ac Ca
4 3 2 1
direct
0.500 0.000 0.653
0.000 0.000 0.000
0.000 0.500 0.347
0.500 0.500 0.000
0.500 0.000 0.893
0.000 0.000 0.500
0.000 0.500 0.107
0.000 0.500 0.769
0.500 0.000 0.231
0.500 0.500 0.500
```

(2)
A plane-wave DFT calculation with GGA-PBE was carried out for crystalline NaGeHBr2 at its relaxed geometry.

Values from the calculation:
Total energy, eV per atom: -2.449
Total magnetic moment, Bohr magnetons per cell: 0.2
Crystal system: tetragonal
Theoretical density, g cm⁻³: 4.02

```
NaGeHBr2
1.0
5.317 0.000 0.000
0.000 3.744 0.000
0.000 0.000 5.317
H Na Ge Br
1 1 1 2
direct
0.000 0.000 0.000
0.000 0.500 0.000
0.500 0.500 0.500
0.500 0.000 0.000
0.000 0.000 0.500
```